The following is a GGA-PBEsol calculation of a geometry-optimized Ni5Rh4 structure, from Alexandria.

Lattice parameters (Å, degrees): 7.647 7.647 3.659 90.00 90.00 90.00
Space group I4/mmm (No. 139)
Inequivalent atoms, fractional coordinates:
Ni1 0.000 0.000 0.000 [2 per cell]
Ni2 0.164 0.164 0.500 [8 per cell]
Rh1 0.000 0.327 0.000 [8 per cell]

=====

The following is a GGA-PBEsol calculation of a geometry-optimized Al2CdMo structure, from Alexandria.

Lattice parameters (Å, degrees): 2.961 3.953 5.582 90.00 90.00 90.00
Space group Pmm2 (No. 25)
Inequivalent atoms, fractional coordinates:
Al1 0.000 0.000 0.000 [1 per cell]
Al2 0.500 0.500 0.267 [1 per cell]
Cd1 0.000 0.000 0.509 [1 per cell]
Mo1 0.500 0.500 0.792 [1 per cell]

=====

Number 1: uncorrected energy -6.98 eV/atom. Number 2: uncorrected energy -5.18 eV/atom.